Entry 1:
A geometry-optimized LaPm8Cd6 structure, computed with PBE-GGA.

The value obtained for the energy relative to the elements is -0.09 eV per atom.

a b c (Å): 8.4131 8.4131 8.4131
angles (deg): 66.50 66.50 66.50
Atoms (fractional coordinates):
La: 0.0000 0.0000 0.0000
Pm: 0.1200 0.4456 0.7876
Pm: 0.2124 0.8800 0.5544
Pm: 0.3323 0.3323 0.3323
Pm: 0.4456 0.7876 0.1200
Pm: 0.5544 0.2124 0.8800
Pm: 0.6677 0.6677 0.6677
Pm: 0.7876 0.1200 0.4456
Pm: 0.8800 0.5544 0.2124
Cd: 0.0505 0.7111 0.3893
Cd: 0.2889 0.6107 0.9495
Cd: 0.3893 0.0505 0.7111
Cd: 0.6107 0.9495 0.2889
Cd: 0.7111 0.3893 0.0505
Cd: 0.9495 0.2889 0.6107

Entry 2:
A geometry-optimized LaTl2AgCl6 structure, computed with PBE-GGA.

The total energy comes out at -76.2 eV/cell.

a b c (Å): 7.4725 7.8767 12.8130
angles (deg): 90.00 124.70 90.00
Atoms (fractional coordinates):
La: 0.0000 0.0000 0.0000
La: 0.0000 0.5000 0.5000
Tl: 0.2759 0.0712 0.7525
Tl: 0.2759 0.4288 0.2525
Tl: 0.7241 0.5712 0.7475
Tl: 0.7241 0.9288 0.2475
Ag: 0.5000 0.0000 0.5000
Ag: 0.5000 0.5000 0.0000
Cl: 0.1527 0.0274 0.2558
Cl: 0.1527 0.4726 0.7558
Cl: 0.2438 0.7046 0.0515
Cl: 0.2438 0.7954 0.5515
Cl: 0.3535 0.1938 0.0502
Cl: 0.3535 0.3062 0.5502
Cl: 0.6465 0.6938 0.4498
Cl: 0.6465 0.8062 0.9498
Cl: 0.7562 0.2046 0.4485
Cl: 0.7562 0.2954 0.9485
Cl: 0.8473 0.5274 0.2442
Cl: 0.8473 0.9726 0.7442

Entry 3:
A geometry-optimized AlC5 structure, computed with PBE-GGA.

As for the distance to the lowest polymorph of the same formula: 2.035 eV/atom. The value obtained for the energy relative to the elements is 2.73 eV per atom.

a b c (Å): 3.3991 3.3991 6.6447
angles (deg): 90.00 90.00 120.00
Atoms (fractional coordinates):
Al: 0.0000 0.0000 0.0000
C: 0.0000 0.5000 0.5000
C: 0.3333 0.6667 0.0000
C: 0.5000 0.0000 0.5000
C: 0.5000 0.5000 0.5000
C: 0.6667 0.3333 0.0000

Entry 4:
A geometry-optimized Tb12Ga6Ir structure, computed with PBE-GGA.

The value obtained for the energy relative to the elements is -0.28 eV per atom.

a b c (Å): 8.4336 8.4336 8.4336
angles (deg): 99.49 99.49 99.49
Atoms (fractional coordinates):
Tb: 0.0414 0.9291 0.6822
Tb: 0.0709 0.3178 0.9586
Tb: 0.1815 0.5687 0.4294
Tb: 0.3178 0.9586 0.0709
Tb: 0.4294 0.1815 0.5687
Tb: 0.4313 0.5706 0.8185
Tb: 0.5687 0.4294 0.1815
Tb: 0.5706 0.8185 0.4313
Tb: 0.6822 0.0414 0.9291
Tb: 0.8185 0.4313 0.5706
Tb: 0.9291 0.6822 0.0414
Tb: 0.9586 0.0709 0.3178
Ga: 0.1361 0.3021 0.6215
Ga: 0.3021 0.6215 0.1361
Ga: 0.3785 0.8639 0.6979
Ga: 0.6215 0.1361 0.3021
Ga: 0.6979 0.3785 0.8639
Ga: 0.8639 0.6979 0.3785
Ir: 0.0000 0.0000 0.0000

Entry 5:
A geometry-optimized BaCu7F12 structure, computed with PBE-GGA.

The total energy comes out at -86.6 eV/cell.

a b c (Å): 6.9171 6.9171 6.9171
angles (deg): 109.47 109.47 109.47
Atoms (fractional coordinates):
Ba: 0.0000 0.0000 0.0000
Cu: 0.0000 0.0000 0.5000
Cu: 0.0000 0.5000 0.0000
Cu: 0.0000 0.5000 0.5000
Cu: 0.5000 0.0000 0.0000
Cu: 0.5000 0.0000 0.5000
Cu: 0.5000 0.5000 0.0000
Cu: 0.5000 0.5000 0.5000
F: 0.1382 0.3097 0.8285
F: 0.1715 0.4811 0.3097
F: 0.1715 0.8618 0.6903
F: 0.3097 0.1715 0.4811
F: 0.3097 0.8285 0.1382
F: 0.4811 0.3097 0.1715
F: 0.5189 0.6903 0.8285
F: 0.6903 0.1715 0.8618
F: 0.6903 0.8285 0.5189
F: 0.8285 0.1382 0.3097
F: 0.8285 0.5189 0.6903
F: 0.8618 0.6903 0.1715

Entry 6:
A geometry-optimized HfVSe2N structure, computed with PBE-GGA.

As for the distance to the lowest polymorph of the same formula: 0.000 eV/atom.

a b c (Å): 4.9484 4.9484 3.5905
angles (deg): 90.00 90.00 90.00
Atoms (fractional coordinates):
Hf: 0.0000 0.0000 0.0000
V: 0.5000 0.5000 0.5000
Se: 0.0000 0.5000 0.5000
Se: 0.5000 0.0000 0.5000
N: 0.5000 0.5000 0.0000

Entry 7:
A geometry-optimized Tc2AsP2 structure, computed with PBE-GGA.

As for the distance to the lowest polymorph of the same formula: 0.021 eV/atom. The value obtained for the energy relative to the elements is -0.10 eV per atom.

a b c (Å): 6.4840 6.4840 6.4840
angles (deg): 147.86 147.86 46.09
Atoms (fractional coordinates):
Tc: 0.1219 0.1219 0.0000
Tc: 0.8781 0.8781 0.0000
As: 0.5000 0.5000 0.0000
P: 0.2500 0.7500 0.5000
P: 0.7500 0.2500 0.5000

Entry 8:
A geometry-optimized KNaNiCl6 structure, computed with PBE-GGA.

The total energy comes out at -28.4 eV/cell.

a b c (Å): 6.7588 6.7588 6.5930
angles (deg): 90.00 90.00 120.00
Atoms (fractional coordinates):
K: 0.0000 0.0000 0.0000
Na: 0.3333 0.6667 0.5000
Ni: 0.6667 0.3333 0.5000
Cl: 0.4003 0.0593 0.6989
Cl: 0.4003 0.3410 0.3011
Cl: 0.6590 0.0593 0.3011
Cl: 0.6590 0.5997 0.6989
Cl: 0.9407 0.3410 0.6989
Cl: 0.9407 0.5997 0.3011

Entry 9:
A geometry-optimized CrTc2Ir structure, computed with PBE-GGA.

As for the distance to the lowest polymorph of the same formula: 0.036 eV/atom. The value obtained for the energy relative to the elements is -0.01 eV per atom.

a b c (Å): 4.6714 4.6714 4.7021
angles (deg): 99.78 99.78 33.55
Atoms (fractional coordinates):
Cr: 0.0000 0.0000 0.0000
Tc: 0.5038 0.5038 0.5031
Tc: 0.7457 0.7457 0.2517
Ir: 0.2537 0.2537 0.7647

Entry 10:
A geometry-optimized NiRuPt3 structure, computed with PBE-GGA.

As for the distance to the lowest polymorph of the same formula: 1.240 eV/atom. The value obtained for the energy relative to the elements is 1.29 eV per atom.

a b c (Å): 4.5092 4.5092 4.5092
angles (deg): 90.00 90.00 90.00
Atoms (fractional coordinates):
Ni: 0.0000 0.0000 0.0000
Ru: 0.5000 0.5000 0.5000
Pt: 0.0000 0.0000 0.5000
Pt: 0.0000 0.5000 0.0000
Pt: 0.5000 0.0000 0.0000

Entry 11:
A geometry-optimized Mn2ZnSb structure, computed with PBE-GGA.

As for the distance to the lowest polymorph of the same formula: 0.009 eV/atom.

a b c (Å): 4.0356 4.0356 3.9364
angles (deg): 90.00 90.00 90.00
Atoms (fractional coordinates):
Mn: 0.0000 0.5000 0.0000
Mn: 0.5000 0.0000 0.0000
Zn: 0.0000 0.0000 0.5000
Sb: 0.5000 0.5000 0.5000

Entry 12:
A geometry-optimized Ca2NpScBi4 structure, computed with PBE-GGA.

The value obtained for the energy relative to the elements is -0.48 eV per atom.

a b c (Å): 7.6820 4.5165 7.8861
angles (deg): 90.00 109.31 90.00
Atoms (fractional coordinates):
Ca: 0.0000 0.0000 0.0000
Ca: 0.5000 0.5000 0.0000
Np: 0.0000 0.5000 0.5000
Sc: 0.5000 0.0000 0.5000
Bi: 0.2513 0.0000 0.7327
Bi: 0.2631 0.5000 0.2726
Bi: 0.7369 0.5000 0.7274
Bi: 0.7487 0.0000 0.2673